A plane-wave DFT calculation with PBE was carried out for a geometry-optimized CoReAs2Pb structure.

```
CoReAs2Pb
1.0
-3.918 2.093 0.478
-1.579 -1.951 -4.397
-1.633 -3.551 2.162
Re As Co Pb
1 2 1 1
Direct
0.000 0.500 0.000
0.000 0.000 0.500
0.500 0.000 0.000
0.000 0.000 0.000
0.500 0.500 0.500
```

Calculated values
The energy is -5.635 eV/atom.

---

A plane-wave DFT calculation with PBE was carried out for a geometry-optimized TaMnTeN2 structure.

```
TaMnTeN2
1.0
-2.459 0.624 3.120
-0.129 -3.960 0.690
4.619 0.467 3.546
N Ta Mn Te
2 1 1 1
Direct
0.000 0.500 0.000
0.500 0.000 0.000
0.000 0.000 0.000
0.500 0.500 0.500
0.000 0.000 0.500
```

Calculated values
The relative energy among the computed polymorphs comes out at 0 meV/atom. The uncorrected formation energy is 0.287 eV/atom.

---

A plane-wave DFT calculation with PBE was carried out for a geometry-optimized MnNbGe2 structure.

```
MnNbGe2
1.0
4.962 0.026 0.045
-1.218 6.135 -1.030
-1.218 -3.995 4.768
Nb Ge Mn
2 4 2
Direct
0.250 0.131 0.869
0.750 0.869 0.131
0.118 0.544 0.858
0.382 0.142 0.456
0.618 0.858 0.544
0.882 0.456 0.142
0.250 0.508 0.492
0.750 0.492 0.508
```

Calculated values
The relative energy among the computed polymorphs comes out at 0 meV/atom.

---

A plane-wave DFT calculation with PBE was carried out for a geometry-optimized MgNiPb2 structure.

```
MgNiPb2
1.0
-2.470 -0.538 8.337
-1.931 -3.989 7.500
0.844 -1.917 8.456
Mg Ni Pb
1 1 2
Direct
0.250 0.250 0.250
0.750 0.750 0.750
0.485 0.485 0.485
0.015 0.015 0.015
```

Calculated values
The energy is -3.588 eV/atom.

---

A plane-wave DFT calculation with PBE was carried out for a geometry-optimized CeMg2H7 structure.

```
CeMg2H7
1.0
-5.130 -1.966 -2.954
0.367 -5.459 2.997
-5.284 3.430 6.895
Mg Ce H
8 4 28
Direct
0.762 0.474 0.100
0.026 0.262 0.350
0.474 0.762 0.900
0.526 0.238 0.400
0.238 0.526 0.600
0.262 0.026 0.650
0.974 0.738 0.850
0.738 0.974 0.150
0.770 0.230 0.750
0.230 0.770 0.250
0.270 0.270 0.000
0.730 0.730 0.500
0.806 0.345 0.499
0.938 0.423 0.928
0.257 0.743 0.750
0.038 0.033 0.128
0.306 0.155 0.251
0.345 0.806 0.501
0.538 0.467 0.622
0.467 0.538 0.378
0.462 0.533 0.122
0.423 0.938 0.072
0.577 0.062 0.572
0.062 0.577 0.428
0.743 0.257 0.250
0.562 0.923 0.322
0.845 0.694 0.249
0.923 0.562 0.678
0.243 0.243 0.500
0.757 0.757 0.000
0.967 0.962 0.372
0.194 0.655 0.999
0.077 0.438 0.178
0.438 0.077 0.822
0.033 0.038 0.872
0.655 0.194 0.001
0.694 0.845 0.751
0.155 0.306 0.749
0.962 0.967 0.628
0.533 0.462 0.878
```

Calculated values
The relative energy among the computed polymorphs comes out at 0 meV/atom.

---

A plane-wave DFT calculation with PBE was carried out for a geometry-optimized ErTlZnCu structure.

```
ErTlZnCu
1.0
-0.903 -4.376 -1.776
1.204 -1.050 -4.535
3.626 -3.031 -0.884
Tl Cu Zn Er
1 1 1 1
Direct
0.500 0.500 0.500
0.750 0.750 0.750
0.250 0.250 0.250
0.000 0.000 0.000
```

Calculated values
The energy is -3.214 eV/atom.

---

A plane-wave DFT calculation with PBE was carried out for a geometry-optimized ReSn2Ir structure.

```
ReSn2Ir
1.0
4.571 -0.472 0.548
1.682 -3.541 2.459
2.243 -3.440 -2.133
Ir Sn Re
1 2 1
Direct
0.500 0.500 0.500
0.750 0.750 0.750
0.250 0.250 0.250
0.000 0.000 0.000
```

Calculated values
The relative energy among the computed polymorphs comes out at 0 meV/atom.

---

A plane-wave DFT calculation with PBE was carried out for a geometry-optimized LiPmAlPb structure.

```
LiPmAlPb
1.0
5.185 0.000 0.000
2.593 4.491 0.000
2.593 1.497 4.234
Pb Al Pm Li
1 1 1 1
Direct
0.250 0.250 0.250
0.750 0.750 0.750
0.500 0.500 0.500
0.000 0.000 0.000
```

Calculated values
The energy is -3.757 eV/atom.